A plane-wave DFT calculation with PBE was carried out for a geometry-optimized Nd2TmSn structure.

Values from the calculation:
- ΔE_f: -0.2617 eV per atom
- ΔE to the lowest computed polymorph: 162 meV/atom
- Density of states at the Fermi level: 1.549 states/eV per atom
- Space group: Fm-3m, No. 225

Cell and atoms, written as POSCAR:
```
Nd2TmSn
1.0
5.5121 0.0000 0.0000
2.7561 4.7736 0.0000
2.7561 1.5912 4.5006
Tm Nd Sn
1 2 1
direct
0.0000 0.0000 0.0000
0.2500 0.2500 0.2500
0.7500 0.7500 0.7500
0.5000 0.5000 0.5000
```

A plane-wave DFT calculation with PBE was carried out for a geometry-optimized TiNiTe3 structure.

Values from the calculation:
- ΔE to the lowest computed polymorph: 0 meV/atom
- Density of states at the Fermi level: 0.781 states/eV per atom
- Space group: P2_1/m, No. 11
- E_form (uncorrected): -0.327 eV per atom

Cell and atoms, written as POSCAR:
```
TiNiTe3
1.0
-2.2268 -2.9790 1.1950
5.2312 -2.1505 4.3870
-6.8369 6.8339 4.2958
Ti Ni Te
2 2 6
direct
0.2500 0.1455 0.1533
0.7500 0.8545 0.8467
0.2500 0.1950 0.6603
0.7500 0.8050 0.3397
0.2500 0.1786 0.9069
0.7500 0.8214 0.0931
0.2500 0.0427 0.3869
0.7500 0.9573 0.6131
0.2500 0.5758 0.7173
0.7500 0.4242 0.2827
```